This record from Alexandria describes an optimized crystal structure of Dy2Y6HoEr. The functional is PBE.

Its total magnetization is 0.00 Bohr magnetons per cell. The value obtained for the total energy is -0.206 Ha/atom. The value obtained for the energy of formation is 0.118 eV per atom.

The structure belongs to space group C2/c (No. 15); the cell edges are 9.064, 14.976 and 9.620 Å and the angles 90.00°, 98.69° and 90.00°. The asymmetric unit holds Dy at (0.246, 0.051, 0.045), Y at (0.062, 0.185, 0.444), Y at (0.102, 0.395, 0.619), Y at (0.206, 0.223, 0.816), Ho at (0.000, 0.408, 0.250) and Er at (0.000, 0.023, 0.750).



This record from Alexandria describes an optimized crystal structure of DyY3HoEr. The functional is PBE.

Its total magnetization is 0.00 Bohr magnetons per cell. The value obtained for the total energy is -0.202 Ha/atom. The value obtained for the energy of formation is 0.024 eV per atom.

The structure belongs to space group Cmcm (No. 63); the cell edges are 5.016, 15.066 and 10.029 Å and the angles 90.00°, 90.00° and 90.00°. The asymmetric unit holds Dy at (0.000, 0.001, 0.250), Y at (0.000, 0.166, 0.000), Y at (0.000, 0.333, 0.250), Ho at (0.000, 0.500, 0.000) and Er at (0.000, 0.334, 0.750).



This record from Alexandria describes an optimized crystal structure of Dy2Y2Ho4Er. The functional is PBE.

Its total magnetization is 0.00 Bohr magnetons per cell. The value obtained for the total energy is -0.184 Ha/atom. The value obtained for the energy of formation is 0.001 eV per atom.

The structure belongs to space group C2/m (No. 12); the cell edges are 18.542, 3.568 and 9.479 Å and the angles 90.00°, 115.77° and 90.00°. The asymmetric unit holds Dy at (0.166, 0.000, 0.001), Y at (0.148, 0.500, 0.665), Ho at (0.019, 0.000, 0.332), Ho at (0.185, 0.500, 0.334) and Er at (0.000, 0.500, 0.000).



This record from Alexandria describes an optimized crystal structure of Dy2YHo3Er6. The functional is PBE.

Its total magnetization is 0.00 Bohr magnetons per cell. The value obtained for the total energy is -0.173 Ha/atom. The value obtained for the energy of formation is 0.021 eV per atom.

The structure belongs to space group C2/m (No. 12); the cell edges are 6.104, 10.558 and 11.671 Å and the angles 90.00°, 99.99° and 90.00°. The asymmetric unit holds Dy at (0.000, 0.167, 0.000), Y at (0.000, 0.500, 0.000), Ho at (0.000, 0.000, 0.500), Ho at (0.000, 0.333, 0.500), Er at (0.249, 0.167, 0.749) and Er at (0.250, 0.000, 0.251).



This record from Alexandria describes an optimized crystal structure of DyY6Ho2Er3. The functional is PBE.

Its total magnetization is 0.00 Bohr magnetons per cell. The value obtained for the total energy is -0.202 Ha/atom. The value obtained for the energy of formation is 0.024 eV per atom.

The structure belongs to space group C2/m (No. 12); the cell edges are 6.143, 10.627 and 11.750 Å and the angles 90.00°, 99.99° and 90.00°. The asymmetric unit holds Dy at (0.000, 0.000, 0.000), Y at (0.250, 0.000, 0.749), Y at (0.250, 0.167, 0.251), Ho at (0.000, 0.333, 0.000), Er at (0.000, 0.167, 0.500) and Er at (0.000, 0.500, 0.500).



This record from Alexandria describes an optimized crystal structure of DyY2HoEr5. The functional is PBE.

Its total magnetization is 0.00 Bohr magnetons per cell. The value obtained for the total energy is -0.178 Ha/atom. The value obtained for the energy of formation is 0.155 eV per atom.

The structure belongs to space group Cmc2_1 (No. 36); the cell edges are 5.568, 19.618 and 10.545 Å and the angles 90.00°, 90.00° and 90.00°. The asymmetric unit holds Dy at (0.000, 0.086, 0.000), Y at (0.000, 0.387, 0.862), Y at (0.000, 0.390, 0.278), Ho at (0.000, 0.299, 0.553), Er at (0.000, 0.021, 0.280), Er at (0.000, 0.109, 0.564), Er at (0.000, 0.200, 0.250), Er at (0.000, 0.217, 0.850) and Er at (0.000, 0.480, 0.568).